Record 1
Computed, not measured: an optimized crystal structure of CaSbOs2 at the PBE level of DFT.

Calculated values
ΔE_f (raw) = 0.224 eV per atom
SG = Amm2
Size of the total moment = 0.00 μB per formula unit
V = 79.5 Å³ per cell
VASP energy = -6.922 eV/atom

The structure in POSCAR format:
```
CaSbOs2
1.0
3.035 0.000 0.000
0.000 1.509 8.671
0.000 -1.509 8.671
Ca Sb Os
1 1 2
direct
0.000 0.000 0.000
0.500 0.347 0.347
0.000 0.213 0.213
0.500 0.627 0.627
```

Record 2
Computed, not measured: an optimized crystal structure of KSrYNb2 at the PBE level of DFT.

Calculated values
SG = P4/mmm
Energy relative to the elements = 1.479 eV per atom
Size of the total moment = 2.09 μB per formula unit
V = 168.7 Å³ per cell
VASP energy = -4.397 eV/atom

The structure in POSCAR format:
```
KSrYNb2
1.0
5.261 0.000 0.000
0.000 5.261 0.000
0.000 0.000 6.096
K Sr Y Nb
1 1 1 2
direct
0.000 0.000 0.000
0.500 0.500 0.000
0.000 0.000 0.500
0.000 0.500 0.500
0.500 0.000 0.500
```